# 1
Nb2Si2Ru | SCAN | PBEsol geometry

Output
size of the total moment = 0.00 μB per cell
uncorrected formation energy = -3.28 eV/f.u.

Lattice parameters (Å, degrees): 4.0569 6.0735 6.0735 90.00 90.00 90.00
Sites, in units of the cell vectors:
Ru1 0.0000 0.0000 0.0000
Ru2 0.0000 0.5000 0.5000
Nb1 0.5000 0.1604 0.6604
Nb2 0.5000 0.6604 0.8396
Nb3 0.5000 0.8396 0.3396
Nb4 0.5000 0.3396 0.1604
Si1 0.0000 0.3607 0.8607
Si2 0.0000 0.8607 0.6393
Si3 0.0000 0.6393 0.1393
Si4 0.0000 0.1393 0.3607

# 2
NbZnSi2Ru | SCAN | PBEsol geometry

Output
size of the total moment = 0.00 μB per cell
uncorrected formation energy = 3.09 eV/f.u.

Lattice parameters (Å, degrees): 4.4238 4.4238 5.0080 90.00 90.00 90.00
Sites, in units of the cell vectors:
Ru1 0.0000 0.0000 0.0000
Nb1 0.0000 0.0000 0.5000
Si1 0.0000 0.5000 0.0000
Si2 0.5000 0.0000 0.0000
Zn1 0.5000 0.5000 0.5000

# 3
SrNb2Ru2 | SCAN | PBEsol geometry

Output
size of the total moment = 0.00 μB per cell
ΔH_f (0 K) = -49 kJ/mol of formula units

Lattice parameters (Å, degrees): 4.3666 4.3666 6.2259 110.53 110.53 90.00
Sites, in units of the cell vectors:
Ru1 0.3774 0.3774 0.7548
Ru2 0.6226 0.6226 0.2452
Nb1 0.2500 0.7500 0.5000
Nb2 0.7500 0.2500 0.5000
Sr1 0.0000 0.0000 0.0000

Q: Look up the size of the total moment of the third one.
A: 0.00 μB per cell